Compound: Hf2TcS
Source: Alexandria via LeMat-Bulk
Functional: PBE-GGA
Structure: optimized geometry

Cell and atoms, written as POSCAR:
```
Hf2TcS
1.0
-0.066 -0.947 3.094
2.747 -0.152 1.705
-0.165 7.595 4.014
S Hf Tc
1 2 1
Cartesian
1.258 3.248 4.406
0.141 5.297 3.317
2.376 1.200 5.496
0.000 0.000 0.000
```

Values from the calculation:
- raw total energy (eV/atom) = -8.704
- formation energy (no corrections) (eV per formula unit) = -0.42